The following is a SCAN calculation of a crystal of AlCuNi6 relaxed with PBEsol, from Alexandria via LeMat-Bulk.

a = 6.060 Å, b = 6.060 Å, c = 9.900 Å
α = 90.00°, β = 90.00°, γ = 109.57°
Last column: magnetic moment on the atom in μB.
Fractional coordinates of all 32 atoms:
Al 0.248 0.752 0.500  -0.01
Al 0.752 0.248 0.500  -0.01
Al 0.000 0.000 0.750  -0.01
Al 0.000 0.000 0.250  -0.01
Cu 0.249 0.751 0.000  0.08
Cu 0.751 0.249 0.000  0.08
Cu 0.500 0.500 0.751  0.07
Cu 0.500 0.500 0.249  0.07
Ni 0.250 0.750 0.751  0.53
Ni 0.874 0.624 0.876  0.60
Ni 0.126 0.376 0.876  0.60
Ni 0.750 0.250 0.751  0.53
Ni 0.376 0.126 0.876  0.60
Ni 0.624 0.874 0.876  0.60
Ni 0.500 0.500 0.500  0.54
Ni 0.127 0.376 0.626  0.47
Ni 0.376 0.127 0.626  0.47
Ni 0.250 0.750 0.249  0.53
Ni 0.873 0.624 0.374  0.47
Ni 0.127 0.376 0.374  0.47
Ni 0.750 0.250 0.249  0.53
Ni 0.376 0.127 0.374  0.47
Ni 0.624 0.873 0.374  0.47
Ni 0.500 0.500 0.000  0.67
Ni 0.126 0.376 0.124  0.60
Ni 0.376 0.126 0.124  0.60
Ni 0.000 0.000 0.500  0.42
Ni 0.624 0.873 0.626  0.47
Ni 0.873 0.624 0.626  0.47
Ni 0.000 0.000 0.000  0.53
Ni 0.624 0.874 0.124  0.60
Ni 0.874 0.624 0.124  0.60

Summary:
Its formation energy is -0.203 eV per atom. The calculation puts the volume at 10.7 Å³ per atom. Its theoretical density is 8.6 g/cm3. The density of states at the Fermi level comes out at 0.71 states/eV per atom.

=====

The following is a SCAN calculation of a crystal of Al2CuNi relaxed with PBEsol, from Alexandria via LeMat-Bulk.

a = 2.699 Å, b = 2.699 Å, c = 8.314 Å
α = 90.00°, β = 90.00°, γ = 120.00°
Fractional coordinates of all 4 atoms:
Ni 0.333 0.667 0.467
Al 0.333 0.667 0.750
Al 0.667 0.333 0.244
Cu 0.000 0.000 0.994

Summary:
Its formation energy is -0.114 eV per atom. The calculation puts the volume at 13.1 Å³ per atom. Its theoretical density is 5.6 g/cm3. The density of states at the Fermi level comes out at 0.51 states/eV per atom.

=====

| no. | final energy (eV/atom) | spin magnetization (μB/atom) |
| --- | --- | --- |
| 1 | -15.20 | 0.369 |
| 2 | -11.83 | 0.000 |